# CdSi2Rh (PBE-GGA, optimized geometry)
data_CdSi2Rh
_chemical_formula_sum 'Cd1 Si2 Rh1'
_cell_length_a 4.3260
_cell_length_b 4.3260
_cell_length_c 5.0026
_cell_angle_alpha 97.14
_cell_angle_beta 97.14
_cell_angle_gamma 47.97
_space_group_name_H-M_alt 'P 1'
_space_group_IT_number 1
loop_
_space_group_symop_operation_xyz
'x,y,z'
loop_
_atom_site_label
_atom_site_fract_x
_atom_site_fract_y
_atom_site_fract_z
Cd1 0.0000 0.0000 0.0000
Si1 0.2212 0.2212 0.6624
Si2 0.7788 0.7788 0.3376
Rh1 0.5000 0.5000 0.5000
# * energy relative to the elements, uncorrected: -75 meV per atom
# * ρ: 6.5 g/cm³
# * magnetization: 0.000 μB per atom
# * N(E_F): 1.78 states/eV per cell
# * symmetry: C2/m (12)
# * uncorrected energy: -19.41 eV per cell